# 1
The following is a DFT calculation (GGA-PBE) of a relaxed Li3Sn3Pb crystal.

a b c (Å): 7.3443 7.3443 7.3443
angles (deg): 90.00 90.00 90.00
With the nearest neighbours (Å) after each atom.
Fractional coordinates of all 14 atoms:
Li: 0.2500 0.5000 0.0000  4 Sn 2.60
Pb: 0.0000 0.0000 0.0000  12 Sn 4.11, 12 Li 4.11
Li: 0.5000 0.0000 0.2500  4 Sn 2.60
Sn: 0.7500 0.0000 0.5000  4 Li 2.60
Pb: 0.5000 0.5000 0.5000  12 Sn 4.11, 12 Li 4.11
Li: 0.0000 0.7500 0.5000  4 Sn 2.60
Sn: 0.2500 0.0000 0.5000  4 Li 2.60
Sn: 0.5000 0.2500 0.0000  4 Li 2.60
Sn: 0.5000 0.7500 0.0000  4 Li 2.60
Sn: 0.0000 0.5000 0.2500  4 Li 2.60
Li: 0.5000 0.0000 0.7500  4 Sn 2.60
Sn: 0.0000 0.5000 0.7500  4 Li 2.60
Li: 0.0000 0.2500 0.5000  4 Sn 2.60
Li: 0.7500 0.5000 0.0000  4 Sn 2.60

DOS at the Fermi energy = 0.40 states/eV/atom
formation energy = 351 meV/atom


# 2
The following is a DFT calculation (GGA-PBE) of a relaxed CaLa7Er4 crystal.

a b c (Å): 7.3449 6.3726 10.9935
angles (deg): 73.34 60.28 90.02
With the nearest neighbours (Å) after each atom.
Fractional coordinates of all 12 atoms:
Er: 0.2499 0.1626 0.3354  9 La 3.59-3.69, 3 Er 3.63-3.68
Ca: 0.0000 0.0000 0.0000  10 La 3.67-3.76, 2 Er 3.76
La: 0.5000 0.0000 0.0000  6 La 3.62-3.73, 2 Ca 3.67, 4 Er 3.68-3.71
La: 0.2622 0.4979 0.9996  7 La 3.50-3.85, 3 Er 3.65-3.67, 2 Ca 3.71-3.73
La: 0.7431 0.1673 0.3422  5 La 3.58-3.79, 6 Er 3.58-3.76, 1 Ca 3.76
Er: 0.7501 0.8374 0.6646  9 La 3.59-3.69, 3 Er 3.63-3.68
Er: 0.4918 0.6567 0.3385  8 La 3.58-3.76, 3 Er 3.60-3.68, 1 Ca 3.76
La: 0.0004 0.6563 0.3390  5 La 3.53-3.77, 6 Er 3.58-3.74, 1 Ca 3.74
Er: 0.5082 0.3433 0.6615  8 La 3.58-3.76, 3 Er 3.60-3.68, 1 Ca 3.76
La: 0.7378 0.5021 0.0004  7 La 3.50-3.85, 3 Er 3.65-3.67, 2 Ca 3.71-3.73
La: 0.2569 0.8327 0.6578  5 La 3.58-3.79, 6 Er 3.58-3.76, 1 Ca 3.76
La: 0.9996 0.3437 0.6610  5 La 3.53-3.77, 6 Er 3.58-3.74, 1 Ca 3.74

DOS at the Fermi energy = 1.70 states/eV/atom
formation energy = 48 meV/atom


# 3
The following is a DFT calculation (GGA-PBE) of a relaxed VCdNi2Au crystal.

a b c (Å): 4.6257 4.9857 4.6257
angles (deg): 90.00 90.00 90.00
With the nearest neighbours (Å) after each atom.
Fractional coordinates of all 5 atoms:
Ni: 0.0000 0.0000 0.5000  2 Cd 2.31
Cd: 0.0000 0.0000 0.0000  4 Ni 2.31, 2 Au 2.49
Au: 0.0000 0.5000 0.0000  2 Cd 2.49
V: 0.5000 0.5000 0.5000  4 Au 3.27, 8 Ni 3.40
Ni: 0.5000 0.0000 0.0000  2 Cd 2.31

DOS at the Fermi energy = 1.48 states/eV/atom
formation energy = 1556 meV/atom


# 4
The following is a DFT calculation (GGA-PBE) of a relaxed Ba4SrU3O12 crystal.

a b c (Å): 7.7521 7.7521 7.7521
angles (deg): 109.47 109.47 109.47
With the nearest neighbours (Å) after each atom.
Fractional coordinates of all 20 atoms:
Ba: 0.0000 0.5000 0.0000  12 O 3.16-3.17
Sr: 0.0000 0.0000 0.0000  6 O 2.41
Ba: 0.5000 0.5000 0.5000  12 O 3.16-3.17
O: 0.2500 0.7500 0.5000  2 U 2.24
O: 0.5000 0.2500 0.7500  2 U 2.24
O: 0.2688 0.2688 0.0000  1 U 2.07
U: 0.5000 0.5000 0.0000  6 O 2.07-2.24
O: 0.5000 0.7500 0.2500  2 U 2.24
O: 0.7312 0.7312 0.0000  1 U 2.07
O: 0.7500 0.2500 0.5000  2 U 2.24
U: 0.0000 0.5000 0.5000  6 O 2.07-2.24
U: 0.5000 0.0000 0.5000  6 O 2.07-2.24
O: 0.7312 0.0000 0.7312  1 U 2.07
Ba: 0.5000 0.0000 0.0000  12 O 3.16-3.17
O: 0.0000 0.2688 0.2688  1 U 2.07
O: 0.7500 0.5000 0.2500  2 U 2.24
O: 0.0000 0.7312 0.7312  1 U 2.07
O: 0.2500 0.5000 0.7500  2 U 2.24
O: 0.2688 0.0000 0.2688  1 U 2.07
Ba: 0.0000 0.0000 0.5000  12 O 3.16-3.17

DOS at the Fermi energy = 0.40 states/eV/atom
formation energy (no corrections) = -3.078 eV/atom